The following is a PBE calculation of an optimized crystal structure of Tb2CdCl, from Alexandria via LeMat-Bulk.

Space group ... R-3m (166)
Calculated total energy ... -13.73 eV/cell

```
Tb2CdCl
1.0
3.4358 0.0000 0.0000
1.7179 2.9755 0.0000
1.7179 0.9918 10.8239
Tb Cl Cd
2 1 1
direct
0.9017 0.9017 0.2948
0.0983 0.0983 0.7052
0.5000 0.5000 0.5000
0.0000 0.0000 0.0000
```


The following is a PBE calculation of an optimized crystal structure of TbCdCl6, from Alexandria via LeMat-Bulk.

Space group ... P-1 (2)
Calculated total energy ... -27.61 eV/cell

```
TbCdCl6
1.0
6.5947 0.0076 0.0178
3.2892 5.7107 0.0316
3.2926 1.9124 6.0065
Cl Cd Tb
6 1 1
direct
0.9195 0.5813 0.2503
0.5828 0.2497 0.2500
0.0805 0.4187 0.7497
0.2516 0.9192 0.2472
0.4172 0.7503 0.7500
0.7484 0.0808 0.7528
0.0000 0.0000 0.0000
0.5000 0.5000 0.5000
```


The following is a PBE calculation of an optimized crystal structure of CdTcCl, from Alexandria via LeMat-Bulk.

Space group ... P-6m2 (187)
Relative energy among the computed polymorphs ... 0.4350 eV per atom
Calculated total energy ... -11.23 eV/cell

```
CdTcCl
1.0
4.5170 0.0000 0.0000
-2.2585 3.9118 0.0000
0.0000 0.0000 3.1588
Tc Cl Cd
1 1 1
direct
0.3333 0.6667 0.4999
0.6667 0.3333 0.5002
0.0000 0.0000 0.9999
```